Record 1
The following is a DFT calculation (GGA-PBE) of a relaxed structure of SmTiRu4.

Unit cell a=5.245 b=5.245 c=5.245 alpha=60.00 beta=60.00 gamma=60.00
Atoms (fractional coordinates):
Sm: 0.250 0.250 0.250
Ru: 0.626 0.123 0.626
Ru: 0.123 0.626 0.626
Ru: 0.626 0.626 0.123
Ru: 0.626 0.626 0.626
Ti: 0.000 0.000 0.000

final energy: -8.3954 eV per atom
DFT formation energy: -0.11 eV/atom
SG: No. 216
crystal system: cubic



Record 2
The following is a DFT calculation (GGA-PBE) of a relaxed structure of Sm6Tl3Ru.

Unit cell a=5.365 b=9.185 c=11.847 alpha=90.00 beta=90.02 gamma=90.00
Atoms (fractional coordinates):
Sm: 0.998 0.652 0.583
Sm: 0.002 0.010 0.763
Sm: 0.002 0.348 0.417
Sm: 0.498 0.510 0.737
Sm: 0.499 0.806 0.424
Sm: 0.998 0.990 0.237
Sm: 0.498 0.848 0.083
Sm: 0.001 0.306 0.076
Sm: 0.999 0.694 0.924
Sm: 0.501 0.194 0.576
Sm: 0.502 0.152 0.917
Sm: 0.502 0.490 0.263
Tl: 0.999 0.344 0.762
Tl: 0.000 0.000 0.500
Tl: 0.501 0.844 0.738
Tl: 0.500 0.500 0.000
Tl: 0.499 0.156 0.262
Tl: 0.001 0.656 0.238
Ru: 0.500 0.500 0.500
Ru: 0.000 0.000 0.000

final energy: -4.7288 eV per atom
DFT formation energy: -0.26 eV/atom
SG: No. 14
offset from the most stable computed form: 7 meV/atom
crystal system: monoclinic



Record 3
The following is a DFT calculation (GGA-PBE) of a relaxed structure of Sm7Tl2Ru2.

Unit cell a=3.827 b=9.889 c=9.889 alpha=60.54 beta=78.84 gamma=78.84
Atoms (fractional coordinates):
Sm: 0.181 0.720 0.917
Sm: 0.819 0.083 0.280
Sm: 0.366 0.733 0.534
Sm: 0.500 0.032 0.968
Sm: 0.848 0.409 0.896
Sm: 0.634 0.466 0.267
Sm: 0.152 0.104 0.591
Tl: 0.000 0.768 0.232
Tl: 0.500 0.358 0.642
Ru: 0.740 0.851 0.670
Ru: 0.260 0.330 0.149

final energy: -5.3762 eV per atom
DFT formation energy: -0.26 eV/atom
SG: No. 44
crystal system: orthorhombic



Record 4
The following is a DFT calculation (GGA-PBE) of a relaxed structure of Sm3Tl2Ru.

Unit cell a=7.938 b=6.751 c=8.140 alpha=84.32 beta=80.32 gamma=53.99
Atoms (fractional coordinates):
Sm: 0.454 0.640 0.776
Sm: 0.906 0.640 0.224
Sm: 0.670 0.000 0.833
Sm: 0.330 0.000 0.167
Sm: 0.094 0.360 0.776
Sm: 0.546 0.360 0.224
Tl: 0.137 0.726 0.500
Tl: 0.863 0.274 0.500
Tl: 0.500 0.000 0.500
Tl: 0.000 0.000 0.000
Ru: 0.290 0.419 0.000
Ru: 0.710 0.581 0.000

final energy: -4.9368 eV per atom
DFT formation energy: -0.24 eV/atom
SG: No. 12
offset from the most stable computed form: 29 meV/atom
crystal system: monoclinic



Record 5
The following is a DFT calculation (GGA-PBE) of a relaxed structure of Sm6TlRu2.

Unit cell a=8.668 b=8.668 c=8.668 alpha=104.81 beta=110.68 gamma=113.04
Atoms (fractional coordinates):
Sm: 0.688 0.017 0.329
Sm: 0.469 0.286 0.183
Sm: 0.207 0.763 0.969
Sm: 0.897 0.714 0.183
Sm: 0.793 0.763 0.556
Sm: 0.312 0.640 0.329
Sm: 0.688 0.360 0.671
Sm: 0.103 0.286 0.817
Sm: 0.793 0.237 0.031
Sm: 0.207 0.237 0.444
Sm: 0.312 0.983 0.671
Sm: 0.531 0.714 0.817
Ru: 0.500 0.376 0.876
Ru: 0.670 0.000 0.670
Ru: 0.330 0.000 0.330
Ru: 0.500 0.624 0.124
Tl: 0.000 0.000 0.000
Tl: 0.000 0.500 0.500

final energy: -5.7534 eV per atom
DFT formation energy: -0.28 eV/atom
SG: No. 71
offset from the most stable computed form: 0 meV/atom
crystal system: orthorhombic



Record 6
The following is a DFT calculation (GGA-PBE) of a relaxed structure of Sm6TlRu2.

Unit cell a=5.127 b=5.785 c=9.430 alpha=79.00 beta=90.00 gamma=116.31
Atoms (fractional coordinates):
Ru: 0.384 0.768 0.097
Ru: 0.616 0.232 0.903
Sm: 0.966 0.933 0.847
Sm: 0.292 0.584 0.840
Sm: 0.034 0.067 0.153
Sm: 0.708 0.416 0.160
Sm: 0.665 0.330 0.620
Sm: 0.335 0.670 0.380
Tl: 0.000 0.000 0.500

final energy: -5.6779 eV per atom
DFT formation energy: -0.21 eV/atom
SG: No. 12
offset from the most stable computed form: 76 meV/atom
crystal system: monoclinic



Record 7
The following is a DFT calculation (GGA-PBE) of a relaxed structure of Sm5TlRu2.

Unit cell a=7.894 b=7.894 c=8.919 alpha=116.27 beta=116.27 gamma=90.00
Atoms (fractional coordinates):
Ru: 0.858 0.642 0.000
Ru: 0.358 0.858 0.000
Ru: 0.142 0.358 0.000
Ru: 0.642 0.142 0.000
Sm: 0.528 0.709 0.737
Sm: 0.472 0.291 0.263
Sm: 0.000 0.000 0.000
Sm: 0.709 0.209 0.737
Sm: 0.791 0.972 0.263
Sm: 0.028 0.528 0.737
Sm: 0.972 0.472 0.263
Sm: 0.209 0.028 0.737
Sm: 0.291 0.791 0.263
Sm: 0.500 0.500 0.000
Tl: 0.750 0.750 0.500
Tl: 0.250 0.250 0.500

final energy: -5.8790 eV per atom
DFT formation energy: -0.31 eV/atom
SG: No. 140
crystal system: tetragonal



Record 8
The following is a DFT calculation (GGA-PBE) of a relaxed structure of Sm4TlRu.

Unit cell a=6.275 b=9.189 c=7.542 alpha=113.07 beta=96.04 gamma=112.78
Atoms (fractional coordinates):
Ru: 0.756 0.002 0.000
Ru: 0.244 0.998 0.000
Sm: 0.570 0.035 0.321
Sm: 0.265 0.645 0.846
Sm: 0.799 0.740 0.650
Sm: 0.735 0.355 0.154
Sm: 0.893 0.787 0.153
Sm: 0.201 0.260 0.350
Sm: 0.107 0.213 0.847
Sm: 0.430 0.965 0.679
Tl: 0.333 0.607 0.264
Tl: 0.667 0.393 0.736

final energy: -5.3721 eV per atom
DFT formation energy: -0.29 eV/atom
SG: No. 2
offset from the most stable computed form: 26 meV/atom
crystal system: triclinic